Zn2TcPt | PBE | relaxed

The calculation puts the density of states at the Fermi level at 3.44 states/eV per cell. The energy above the lowest structure with this stoichiometry is 0.029 eV per atom. For the total energy, the calculation gives -4.85 eV per atom. For the energy of formation from the pure elements, the calculation gives -0.4 eV/f.u.

a b c (Å): 2.739 2.739 7.903
angles (deg): 90.00 90.00 90.00
Space group P4mm (No. 99)
Symmetry-distinct sites (fractional):
Zn (0.000, 0.000, 0.000) (multiplicity 1)
Zn (0.500, 0.500, 0.260) (multiplicity 1)
Tc (0.500, 0.500, 0.752) (multiplicity 1)
Pt (0.000, 0.000, 0.509) (multiplicity 1)